(1)
Material: CaTc4As
Method: DFT, PBE
State: relaxed

Cell lengths 5.2780, 5.2780, 5.2780 Å; angles 60.00, 60.00, 60.00 degrees
Sites, in units of the cell vectors:
As 0.7500 0.7500 0.7500
Tc 0.3763 0.3763 0.3763
Tc 0.3763 0.8711 0.3763
Tc 0.3763 0.3763 0.8711
Tc 0.8711 0.3763 0.3763
Ca 0.0000 0.0000 0.0000

DOS(E_F), states/eV per cell: 7.6
Energy of formation from the pure elements, eV per atom: 0.388
SG: F-43m (216)
Raw total energy, eV per atom: -7.631
V, A^3/atom: 17.33


(2)
Material: CaTcAs
Method: DFT, PBE
State: relaxed

Cell lengths 4.4534, 4.4534, 4.4534 Å; angles 60.00, 60.00, 60.00 degrees
Sites, in units of the cell vectors:
As 0.2500 0.2500 0.2500
Tc 0.5000 0.5000 0.5000
Ca 0.0000 0.0000 0.0000

Offset from the most stable computed form, eV per atom: 0.5508
DOS(E_F), states/eV per cell: 2.0
Energy of formation from the pure elements, eV per atom: 0.037
SG: F-43m (216)
Raw total energy, eV per atom: -5.635
V, A^3/atom: 20.82


(3)
Material: CaTcAs3
Method: DFT, PBE
State: relaxed

Cell lengths 4.8924, 4.8924, 4.8924 Å; angles 90.00, 90.00, 90.00 degrees
Sites, in units of the cell vectors:
As 0.0000 0.5000 0.0000
As 0.0000 0.0000 0.5000
As 0.5000 0.0000 0.0000
Ca 0.5000 0.5000 0.5000
Tc 0.0000 0.0000 0.0000

Offset from the most stable computed form, eV per atom: 0.0000
DOS(E_F), states/eV per cell: 4.8
Energy of formation from the pure elements, eV per atom: -0.031
SG: Pm-3m (221)
Raw total energy, eV per atom: -5.295
V, A^3/atom: 23.42


(4)
Material: Ca3TcAs
Method: DFT, PBE
State: relaxed

Cell lengths 5.3163, 5.3163, 5.3163 Å; angles 90.00, 90.00, 90.00 degrees
Sites, in units of the cell vectors:
Ca 0.0000 0.0000 0.5000
Ca 0.0000 0.5000 0.0000
Ca 0.5000 0.0000 0.0000
Tc 0.0000 0.0000 0.0000
As 0.5000 0.5000 0.5000

Offset from the most stable computed form, eV per atom: 0.1293
DOS(E_F), states/eV per cell: 4.2
Energy of formation from the pure elements, eV per atom: 0.432
SG: Pm-3m (221)
Raw total energy, eV per atom: -3.772
V, A^3/atom: 30.05


(5)
Material: CaTcAs
Method: DFT, PBE
State: relaxed

Cell lengths 4.6830, 4.6830, 4.6830 Å; angles 60.00, 60.00, 60.00 degrees
Sites, in units of the cell vectors:
Ca 0.2500 0.2500 0.2500
As 0.5000 0.5000 0.5000
Tc 0.0000 0.0000 0.0000

Offset from the most stable computed form, eV per atom: 1.5290
DOS(E_F), states/eV per cell: 8.0
Energy of formation from the pure elements, eV per atom: 1.015
SG: F-43m (216)
Raw total energy, eV per atom: -4.657
V, A^3/atom: 24.21


(6)
Material: Ca3TcAs
Method: DFT, PBE
State: relaxed

Cell lengths 5.5441, 5.5441, 5.5441 Å; angles 90.00, 90.00, 90.00 degrees
Sites, in units of the cell vectors:
Ca 0.0000 0.0000 0.5000
Ca 0.5000 0.0000 0.0000
Ca 0.0000 0.5000 0.0000
Tc 0.5000 0.5000 0.5000
As 0.0000 0.0000 0.0000

Offset from the most stable computed form, eV per atom: 0.0000
DOS(E_F), states/eV per cell: 8.1
Energy of formation from the pure elements, eV per atom: 0.303
SG: Pm-3m (221)
Raw total energy, eV per atom: -3.901
V, A^3/atom: 34.08